Entry 1:
Density functional theory data (GGA-PBE) for crystalline Ac2SiPb at its relaxed geometry.

a b c (Å): 3.7852 3.7852 8.9254
angles (deg): 90.00 90.00 90.00
Closest atoms and distances in Å follow each position.
Space group P4/mmm (No. 123)
Symmetry-distinct sites (fractional):
Ac 0.0000 0.0000 0.2194  4 Si 3.32, 4 Pb 3.67
Si 0.5000 0.5000 0.0000  8 Ac 3.32
Pb 0.5000 0.5000 0.5000  8 Ac 3.67, 4 Pb 3.79

## Properties
**Fermi-level density of states**: 4.81 states/eV/f.u.
**ΔE_f (raw)**: -9.58 kcal/mol of atoms
**Total magnetic moment**: 0.00 μB/f.u.


Entry 2:
Density functional theory data (GGA-PBE) for crystalline AcSiPb at its relaxed geometry.

a b c (Å): 4.8829 4.8829 4.3916
angles (deg): 90.00 90.00 120.00
Closest atoms and distances in Å follow each position.
Space group P-6m2 (No. 187)
Symmetry-distinct sites (fractional):
Ac 0.0000 0.0000 0.0000  6 Si 3.57, 6 Pb 3.57
Si 0.3333 0.6667 0.5000  3 Pb 2.82
Pb 0.6667 0.3333 0.5000  3 Si 2.82

## Properties
**Polymorph energy (0 for the lowest one)**: 0.1929 eV per atom
**Fermi-level density of states**: 2.32 states/eV/f.u.
**ΔE_f (raw)**: -6.09 kcal/mol of atoms
**Total magnetic moment**: 0.00 μB/f.u.